1.
Ca2MnSnCl8 after structural relaxation, computed with PBE.

Results
- Density of states at the Fermi level: 0.00 states/eV per cell
- VASP energy: -4.361 eV per atom

Cell: 6.480 6.260 8.294 Å, 90.00 90.00 89.65°
Last column: magnetic moment on the atom in μB.
Sites, in units of the cell vectors:
Ca 0.500 0.500 0.760  0.01
Ca 0.500 0.500 0.240  0.01
Mn 0.000 0.000 0.000  4.43
Sn 0.000 0.000 0.500  0.01
Cl 0.167 0.784 0.223  0.03
Cl 0.685 0.733 0.000  0.03
Cl 0.833 0.216 0.223  0.03
Cl 0.833 0.216 0.777  0.03
Cl 0.315 0.267 0.000  0.03
Cl 0.167 0.784 0.777  0.03
Cl 0.660 0.717 0.500  0.00
Cl 0.340 0.283 0.500  0.00

2.
CaMnSnCl6 after structural relaxation, computed with PBE.

Results
- Density of states at the Fermi level: 0.00 states/eV per cell
- VASP energy: -4.396 eV per atom

Cell: 6.792 6.792 12.361 Å, 90.00 90.00 120.00°
Last column: magnetic moment on the atom in μB.
Sites, in units of the cell vectors:
Ca 0.333 0.667 0.250  0.00
Ca 0.667 0.333 0.750  0.00
Mn 0.667 0.333 0.250  4.41
Mn 0.333 0.667 0.750  4.41
Sn 0.000 0.000 0.000  0.03
Sn 0.000 0.000 0.500  0.03
Cl 0.661 0.637 0.132  0.03
Cl 0.977 0.339 0.132  0.03
Cl 0.339 0.977 0.632  0.03
Cl 0.023 0.661 0.868  0.03
Cl 0.363 0.339 0.368  0.03
Cl 0.977 0.637 0.368  0.03
Cl 0.637 0.977 0.868  0.03
Cl 0.661 0.023 0.368  0.03
Cl 0.023 0.363 0.632  0.03
Cl 0.363 0.023 0.132  0.03
Cl 0.637 0.661 0.632  0.03
Cl 0.339 0.363 0.868  0.03